# 1
## DyHo2Lu (PBE)

Data for DyHo2Lu after structural relaxation.

Summary:
Spin magnetization in μB/f.u.: 0.0
Formation energy in meV per atom: 25
SG: P4/mmm, No. 123

a = 4.9544 Å, b = 4.9544 Å, c = 4.9592 Å
α = 90.00°, β = 90.00°, γ = 90.00°
Sites, in units of the cell vectors:
1 Dy 0.0000 0.0000 0.0000
2 Ho 0.0000 0.5000 0.5000
3 Ho 0.5000 0.0000 0.5000
4 Lu 0.5000 0.5000 0.0000

# 2
## Ho5GaRh6 (PBE)

Data for Ho5GaRh6 after structural relaxation.

Summary:
Spin magnetization in μB/f.u.: 0.0
Formation energy in meV per atom: -859
SG: Immm, No. 71

a = 8.1741 Å, b = 8.1741 Å, c = 8.1741 Å
α = 146.47°, β = 131.03°, γ = 60.66°
Sites, in units of the cell vectors:
1 Ho 0.0000 0.0000 0.0000
2 Ho 0.1708 0.6708 0.5000
3 Ho 0.3449 0.3449 0.0000
4 Ho 0.6551 0.6551 0.0000
5 Ho 0.8292 0.3292 0.5000
6 Ga 0.5000 0.0000 0.5000
7 Rh 0.0912 0.8372 0.2540
8 Rh 0.2478 0.5000 0.7478
9 Rh 0.4167 0.1628 0.2540
10 Rh 0.5833 0.8372 0.7460
11 Rh 0.7522 0.5000 0.2522
12 Rh 0.9088 0.1628 0.7460

# 3
## K2Zn5Au3 (PBE)

Data for K2Zn5Au3 after structural relaxation.

Summary:
Spin magnetization in μB/f.u.: 0.0
Formation energy in meV per atom: -181
SG: C2/c, No. 15

a = 8.9523 Å, b = 8.9523 Å, c = 6.5871 Å
α = 111.58°, β = 111.58°, γ = 72.63°
Sites, in units of the cell vectors:
1 K 0.1077 0.6364 0.8722
2 K 0.3636 0.8923 0.6278
3 K 0.6364 0.1077 0.3722
4 K 0.8923 0.3636 0.1278
5 Zn 0.0002 0.9998 0.2500
6 Zn 0.9998 0.0002 0.7500
7 Zn 0.2416 0.5326 0.3874
8 Zn 0.2767 0.2766 0.0262
9 Zn 0.2766 0.2767 0.5262
10 Zn 0.4674 0.7584 0.1126
11 Zn 0.5326 0.2416 0.8874
12 Zn 0.7234 0.7233 0.4738
13 Zn 0.7233 0.7234 0.9738
14 Zn 0.7584 0.4674 0.6126
15 Au 0.0297 0.2456 0.6368
16 Au 0.2456 0.0297 0.1368
17 Au 0.4987 0.5013 0.2500
18 Au 0.5013 0.4987 0.7500
19 Au 0.7544 0.9703 0.8632
20 Au 0.9703 0.7544 0.3632

# 4
## BeIn2Cl (PBE)

Data for BeIn2Cl after structural relaxation.

Summary:
Spin magnetization in μB/f.u.: 0.0
Formation energy without anion corrections in meV/atom: 108.4
SG: Cmmm, No. 65

a = 3.3867 Å, b = 3.3867 Å, c = 7.6459 Å
α = 90.00°, β = 90.00°, γ = 101.83°
Sites, in units of the cell vectors:
1 Be 0.0000 0.0000 0.0000
2 In 0.5000 0.5000 0.2067
3 In 0.5000 0.5000 0.7933
4 Cl 0.0000 0.0000 0.5000

# 5
## Er3UAg3Te8 (PBE)

Data for Er3UAg3Te8 after structural relaxation.

Summary:
Spin magnetization in μB/f.u.: 2.0
Formation energy without anion corrections in meV/atom: -769.3
SG: C2/m, No. 12

a = 8.6111 Å, b = 8.6111 Å, c = 8.6345 Å
α = 119.03°, β = 119.03°, γ = 61.06°
Sites, in units of the cell vectors:
1 Er 0.0000 0.0000 0.0000
2 Er 0.0000 0.5000 0.5000
3 Er 0.5000 0.0000 0.5000
4 U 0.5000 0.5000 0.0000
5 Ag 0.0000 0.5000 0.0000
6 Ag 0.5000 0.0000 0.0000
7 Ag 0.5000 0.5000 0.5000
8 Te 0.2480 0.2480 0.7462
9 Te 0.2479 0.7524 0.2507
10 Te 0.2476 0.7521 0.7493
11 Te 0.2517 0.2517 0.2496
12 Te 0.7483 0.7483 0.7504
13 Te 0.7524 0.2479 0.2507
14 Te 0.7521 0.2476 0.7493
15 Te 0.7520 0.7520 0.2538

# 6
## Ce2ThZn4 (PBE)

Data for Ce2ThZn4 after structural relaxation.

Summary:
Spin magnetization in μB/f.u.: 1.7
Formation energy in meV per atom: -210
SG: Immm, No. 71

a = 10.4071 Å, b = 10.4071 Å, c = 10.4071 Å
α = 161.18°, β = 154.58°, γ = 31.81°
Sites, in units of the cell vectors:
1 Ce 0.2006 0.2006 0.0000
2 Ce 0.7994 0.7994 0.0000
3 Th 0.5000 0.0000 0.5000
4 Zn 0.0683 0.5683 0.5000
5 Zn 0.3625 0.3625 0.0000
6 Zn 0.6375 0.6375 0.0000
7 Zn 0.9317 0.4317 0.5000

# 7
## CaLaAu2 (PBE)

Data for CaLaAu2 after structural relaxation.

Summary:
Spin magnetization in μB/f.u.: 0.0
Formation energy in meV per atom: -312
SG: I-42d, No. 122

a = 9.1830 Å, b = 9.1830 Å, c = 9.1830 Å
α = 142.40°, β = 142.40°, γ = 54.22°
Sites, in units of the cell vectors:
1 Ca 0.0000 0.0000 0.0000
2 Ca 0.7500 0.2500 0.5000
3 La 0.2500 0.7500 0.5000
4 La 0.5000 0.5000 0.0000
5 Au 0.1189 0.6250 0.9939
6 Au 0.3750 0.3689 0.4939
7 Au 0.6311 0.1250 0.0061
8 Au 0.8750 0.8811 0.5061

# 8
## ReHgBr2 (PBE)

Data for ReHgBr2 after structural relaxation.

Summary:
Spin magnetization in μB/f.u.: 0.0
Formation energy without anion corrections in meV/atom: 379.3
SG: C2/m, No. 12

a = 3.9303 Å, b = 3.9303 Å, c = 9.6788 Å
α = 97.10°, β = 97.10°, γ = 48.71°
Sites, in units of the cell vectors:
1 Re 0.0000 0.0000 0.0000
2 Hg 0.5000 0.5000 0.5000
3 Br 0.2727 0.2727 0.8528
4 Br 0.7273 0.7273 0.1472